! GGA-PBEsol CoReRh2N, relaxed; values from VASP
! **Uncorrected formation energy**: 0.499 eV/atom
! **Space-group type**: P4/mmm (123)
! **Fermi-level density of states**: 7.55 states/eV per cell
&SYSTEM
  ibrav = 0, nat = 5, ntyp = 4
/
ATOMIC_SPECIES
Co 58.93 Co.upf
Re 186.21 Re.upf
Rh 102.91 Rh.upf
N 14.01 N.upf
CELL_PARAMETERS angstrom
4.028 0.000 0.000
0.000 4.028 0.000
0.000 0.000 3.687
ATOMIC_POSITIONS crystal
Co 0.000 0.000 0.000
Re 0.500 0.500 0.000
Rh 0.000 0.500 0.500
Rh 0.500 0.000 0.500
N 0.000 0.000 0.500

=====

! GGA-PBEsol CoReS2N, relaxed; values from VASP
! **Uncorrected formation energy**: 0.685 eV/atom
! **Space-group type**: P4/mmm (123)
! **Fermi-level density of states**: 6.35 states/eV per cell
&SYSTEM
  ibrav = 0, nat = 5, ntyp = 4
/
ATOMIC_SPECIES
Co 58.93 Co.upf
Re 186.21 Re.upf
S 32.06 S.upf
N 14.01 N.upf
CELL_PARAMETERS angstrom
4.701 0.000 0.000
0.000 4.701 0.000
0.000 0.000 3.687
ATOMIC_POSITIONS crystal
Co 0.000 0.000 0.000
Re 0.500 0.500 0.500
S 0.000 0.500 0.500
S 0.500 0.000 0.500
N 0.500 0.500 0.000

=====

! GGA-PBEsol Co2ReTcN, relaxed; values from VASP
! **Uncorrected formation energy**: 1.517 eV/atom
! **Space-group type**: P4/mmm (123)
! **Fermi-level density of states**: 6.94 states/eV per cell
&SYSTEM
  ibrav = 0, nat = 5, ntyp = 4
/
ATOMIC_SPECIES
Co 58.93 Co.upf
Re 186.21 Re.upf
Tc 98.00 Tc.upf
N 14.01 N.upf
CELL_PARAMETERS angstrom
4.473 0.000 0.000
0.000 4.473 0.000
0.000 0.000 3.704
ATOMIC_POSITIONS crystal
Co 0.000 0.500 0.000
Co 0.500 0.000 0.000
Re 0.000 0.000 0.000
Tc 0.500 0.500 0.500
N 0.000 0.000 0.500

=====

! GGA-PBEsol CoRhN2, relaxed; values from VASP
! **Uncorrected formation energy**: 0.145 eV/atom
! **Space-group type**: I-42d (122)
! **Fermi-level density of states**: 5.30 states/eV per cell
&SYSTEM
  ibrav = 0, nat = 8, ntyp = 3
/
ATOMIC_SPECIES
Co 58.93 Co.upf
Rh 102.91 Rh.upf
N 14.01 N.upf
CELL_PARAMETERS angstrom
-2.187 2.187 4.353
2.187 -2.187 4.353
2.187 2.187 -4.353
ATOMIC_POSITIONS crystal
Co 0.000 0.000 0.000
Co 0.750 0.250 0.500
Rh 0.250 0.750 0.500
Rh 0.500 0.500 0.000
N 0.096 0.625 0.971
N 0.375 0.346 0.471
N 0.654 0.125 0.029
N 0.875 0.904 0.529

=====

! GGA-PBEsol Co2SN, relaxed; values from VASP
! **Uncorrected formation energy**: -0.247 eV/atom
! **Space-group type**: I-42d (122)
! **Fermi-level density of states**: 6.62 states/eV per cell
&SYSTEM
  ibrav = 0, nat = 8, ntyp = 3
/
ATOMIC_SPECIES
Co 58.93 Co.upf
S 32.06 S.upf
N 14.01 N.upf
CELL_PARAMETERS angstrom
-2.200 2.200 4.776
2.200 -2.200 4.776
2.200 2.200 -4.776
ATOMIC_POSITIONS crystal
Co 0.053 0.625 0.928
Co 0.375 0.303 0.428
Co 0.697 0.125 0.072
Co 0.875 0.947 0.572
S 0.250 0.750 0.500
S 0.500 0.500 0.000
N 0.000 0.000 0.000
N 0.750 0.250 0.500

=====

! GGA-PBEsol CoS3N, relaxed; values from VASP
! **Uncorrected formation energy**: 1.432 eV/atom
! **Space-group type**: Pm-3m (221)
! **Fermi-level density of states**: 6.73 states/eV per cell
&SYSTEM
  ibrav = 0, nat = 5, ntyp = 3
/
ATOMIC_SPECIES
Co 58.93 Co.upf
S 32.06 S.upf
N 14.01 N.upf
CELL_PARAMETERS angstrom
4.343 0.000 0.000
0.000 4.343 0.000
0.000 0.000 4.343
ATOMIC_POSITIONS crystal
Co 0.000 0.000 0.000
S 0.000 0.000 0.500
S 0.000 0.500 0.000
S 0.500 0.000 0.000
N 0.500 0.500 0.500